Density functional theory data (PBE with a Hubbard U) for crystalline LiMn2OF3 at its relaxed geometry.

Calculated values
V, Å³/cell: 363.67
Offset from the most stable computed form, meV per atom: 36
Crystal system: monoclinic

Geometry as CIF:
```
data_LiMn2OF3
_chemical_formula_sum 'Li4 Mn8 O4 F12'
_cell_length_a 6.283
_cell_length_b 6.366
_cell_length_c 11.047
_cell_angle_alpha 90.00
_cell_angle_beta 124.61
_cell_angle_gamma 90.00
_space_group_name_H-M_alt 'P 1 21/c 1'
_space_group_IT_number 14
loop_
_space_group_symop_operation_xyz
'x,y,z'
'-x,-y,-z'
'-x,y+1/2,-z+1/2'
'x,-y+1/2,z+1/2'
loop_
_atom_site_label
_atom_site_fract_x
_atom_site_fract_y
_atom_site_fract_z
Li1 0.145 0.036 0.395
Mn1 0.000 0.000 0.000
Mn2 0.484 0.241 0.734
Mn3 0.500 0.000 0.000
O1 0.264 0.204 0.014
F1 0.250 0.504 0.245
F2 0.261 0.004 0.255
F3 0.274 0.739 0.024
```